(1)
Compound: CaPr4Nd5
Source: the Alexandria database
Functional: PBE-GGA
Structure: optimized geometry

Unit cell a=9.875 b=9.875 c=7.271 alpha=111.45 beta=111.45 gamma=33.77
Positions (direct):
Ca (0.000, 0.000, 0.000)
Pr (0.200, 0.200, 0.699)
Pr (0.391, 0.391, 0.144)
Pr (0.609, 0.609, 0.856)
Pr (0.800, 0.800, 0.301)
Nd (0.000, 0.000, 0.500)
Nd (0.202, 0.202, 0.202)
Nd (0.391, 0.391, 0.637)
Nd (0.609, 0.609, 0.363)
Nd (0.798, 0.798, 0.798)

## Properties
**Total magnetic moment**: 0.00 μB/f.u.
**Energy relative to the lowest polymorph listed for this composition**: 44 kJ/mol of formula units
**Space group**: No. 12
**Energy relative to the elements**: 0.0685 eV/atom
**VASP energy**: -4.427 eV/atom

***

(2)
Compound: Mg2Te2Au
Source: the Alexandria database
Functional: PBE-GGA
Structure: optimized geometry

Unit cell a=8.006 b=8.006 c=3.968 alpha=90.00 beta=90.00 gamma=90.00
Positions (direct):
Mg (0.139, 0.361, 0.000)
Mg (0.361, 0.861, 0.000)
Mg (0.639, 0.139, 0.000)
Mg (0.861, 0.639, 0.000)
Te (0.175, 0.675, 0.500)
Te (0.325, 0.175, 0.500)
Te (0.675, 0.825, 0.500)
Te (0.825, 0.325, 0.500)
Au (0.000, 0.000, 0.500)
Au (0.500, 0.500, 0.500)

## Properties
**Formation energy without anion corrections**: -0.278 eV/atom
**Total magnetic moment**: 0.00 μB/f.u.
**Space group**: No. 127
**VASP energy**: -2.828 eV/atom

***

(3)
Compound: LiZrCuPb
Source: the Alexandria database
Functional: PBE-GGA
Structure: optimized geometry

Unit cell a=6.772 b=6.772 c=6.772 alpha=90.00 beta=90.00 gamma=90.00
Positions (direct):
Li (0.000, 0.000, 0.000)
Li (0.000, 0.500, 0.500)
Li (0.500, 0.000, 0.500)
Li (0.500, 0.500, 0.000)
Zr (0.000, 0.000, 0.500)
Zr (0.000, 0.500, 0.000)
Zr (0.500, 0.000, 0.000)
Zr (0.500, 0.500, 0.500)
Cu (0.250, 0.250, 0.250)
Cu (0.250, 0.750, 0.750)
Cu (0.750, 0.250, 0.750)
Cu (0.750, 0.750, 0.250)
Pb (0.250, 0.250, 0.750)
Pb (0.250, 0.750, 0.250)
Pb (0.750, 0.250, 0.250)
Pb (0.750, 0.750, 0.750)

## Properties
**Total magnetic moment**: 0.00 μB/f.u.
**Space group**: No. 216
**Energy relative to the elements**: -0.0485 eV/atom
**VASP energy**: -4.615 eV/atom

***

(4)
Compound: BaMn4P
Source: the Alexandria database
Functional: PBE-GGA
Structure: optimized geometry

Unit cell a=5.547 b=5.547 c=5.547 alpha=60.00 beta=60.00 gamma=60.00
Positions (direct):
Ba (0.000, 0.000, 0.000)
Mn (0.126, 0.625, 0.625)
Mn (0.625, 0.126, 0.625)
Mn (0.625, 0.625, 0.126)
Mn (0.625, 0.625, 0.625)
P (0.250, 0.250, 0.250)

## Properties
**Total magnetic moment**: 15.84 μB/f.u.
**Space group**: No. 216
**Energy relative to the elements**: 0.6942 eV/atom
**VASP energy**: -6.641 eV/atom